# 1
Entry from Alexandria via LeMat-Bulk: an optimized crystal structure of HfZrPa2 (PBE-GGA).

Cell: 5.158 5.158 5.158 Å, 60.00 60.00 60.00°
Fractional positions:
Hf 0.000 0.000 0.000
Zr 0.500 0.500 0.500
Pa 0.250 0.250 0.250
Pa 0.750 0.750 0.750

## Properties
Space group: Fm-3m (225)

# 2
Entry from Alexandria via LeMat-Bulk: an optimized crystal structure of HfZr3Pa (PBE-GGA).

Cell: 3.114 7.899 7.899 Å, 37.23 90.00 90.00°
Fractional positions:
Hf 0.000 0.000 0.000
Zr 0.000 0.213 0.213
Zr 0.500 0.412 0.412
Zr 0.500 0.808 0.808
Pa 0.500 0.608 0.608

## Properties
Space group: Amm2 (38)

# 3
Entry from Alexandria via LeMat-Bulk: an optimized crystal structure of Hf2Zr6Pa (PBE-GGA).

Cell: 8.837 8.837 5.752 Å, 97.16 97.16 71.94°
Fractional positions:
Hf 0.151 0.223 0.385
Hf 0.223 0.151 0.885
Hf 0.777 0.849 0.115
Hf 0.849 0.777 0.615
Zr 0.071 0.555 0.232
Zr 0.119 0.834 0.991
Zr 0.166 0.881 0.509
Zr 0.266 0.481 0.725
Zr 0.445 0.929 0.268
Zr 0.481 0.266 0.225
Zr 0.519 0.734 0.775
Zr 0.555 0.071 0.732
Zr 0.734 0.519 0.275
Zr 0.834 0.119 0.491
Zr 0.881 0.166 0.009
Zr 0.929 0.445 0.768
Pa 0.400 0.600 0.250
Pa 0.600 0.400 0.750

## Properties
Space group: C2/c (15)

# 4
Entry from Alexandria via LeMat-Bulk: an optimized crystal structure of HfZrPa4 (PBE-GGA).

Cell: 9.177 9.177 10.404 Å, 90.00 90.00 160.56°
Fractional positions:
Hf 0.246 0.754 0.750
Hf 0.754 0.246 0.250
Zr 0.093 0.907 0.250
Zr 0.907 0.093 0.750
Pa 0.074 0.926 0.750
Pa 0.334 0.666 0.012
Pa 0.334 0.666 0.488
Pa 0.500 0.500 0.000
Pa 0.500 0.500 0.500
Pa 0.666 0.334 0.512
Pa 0.666 0.334 0.988
Pa 0.926 0.074 0.250

## Properties
Space group: Cmcm (63)

# 5
Entry from Alexandria via LeMat-Bulk: an optimized crystal structure of HfZr6Pa2 (PBE-GGA).

Cell: 10.560 10.560 5.149 Å, 104.05 104.05 51.77°
Fractional positions:
Hf 0.100 0.900 0.750
Hf 0.900 0.100 0.250
Zr 0.110 0.722 0.166
Zr 0.185 0.392 0.038
Zr 0.278 0.890 0.334
Zr 0.315 0.518 0.666
Zr 0.392 0.185 0.538
Zr 0.482 0.685 0.834
Zr 0.518 0.315 0.166
Zr 0.608 0.815 0.462
Zr 0.685 0.482 0.334
Zr 0.722 0.110 0.666
Zr 0.815 0.608 0.962
Zr 0.890 0.278 0.834
Pa 0.032 0.341 0.437
Pa 0.341 0.032 0.937
Pa 0.659 0.968 0.063
Pa 0.968 0.659 0.563

## Properties
Space group: C2/c (15)

# 6
Entry from Alexandria via LeMat-Bulk: an optimized crystal structure of Hf6Zr2Pa (PBE-GGA).

Cell: 8.543 8.543 5.843 Å, 96.45 96.45 98.10°
Fractional positions:
Hf 0.054 0.435 0.717
Hf 0.167 0.767 0.991
Hf 0.233 0.833 0.509
Hf 0.260 0.456 0.188
Hf 0.435 0.054 0.217
Hf 0.456 0.260 0.688
Hf 0.544 0.740 0.312
Hf 0.565 0.946 0.783
Hf 0.740 0.544 0.812
Hf 0.767 0.167 0.491
Hf 0.833 0.233 0.009
Hf 0.946 0.565 0.283
Zr 0.115 0.157 0.364
Zr 0.157 0.115 0.864
Zr 0.843 0.885 0.136
Zr 0.885 0.843 0.636
Pa 0.411 0.589 0.750
Pa 0.589 0.411 0.250

## Properties
Space group: C2/c (15)

| no. | formation energy (eV per atom) |
| --- | --- |
| 1 | 0.32 |
| 2 | 0.06 |
| 3 | 0.14 |
| 4 | 0.13 |
| 5 | 0.14 |
| 6 | 0.15 |